(1)
Density functional theory data (GGA-PBE) for crystalline TbSm2Mg at its relaxed geometry.

The value obtained for the volume is 31.24 A^3/atom. Its polymorph energy (0 for the lowest one) is 70 meV/atom. The spin magnetization is 0.00 μB per formula unit.

The space group is R3m (No. 160, hexagonal axes) and the conventional cell measures 3.5503, 3.5503 and 34.3365 Å, with angles of 90.00, 90.00 and 120.00 degrees. Symmetry generates all atoms from Tb at (0.0000, 0.0000, 0.0000), Sm at (0.0000, 0.0000, 0.4187), Sm at (0.0000, 0.0000, 0.5821) and Mg at (0.0000, 0.0000, 0.1671).


(2)
Density functional theory data (GGA-PBE) for crystalline UPaTlO6 at its relaxed geometry.

The uncorrected formation energy is -2902 meV/atom. The value obtained for the volume is 20.40 A^3/atom. The spin magnetization is 0.00 μB per formula unit.

The space group is Imma (No. 74) and the conventional cell measures 8.0160, 8.0342 and 11.4037 Å, with angles of 90.00, 90.00 and 90.00 degrees. Symmetry generates all atoms from U at (0.0000, 0.0000, 0.0000), Pa at (0.2500, 0.2500, 0.2500), Tl at (0.0000, 0.2500, 0.5552), O at (0.0000, 0.2500, 0.3254), O at (0.0000, 0.2500, 0.9429) and O at (0.1853, 0.0605, 0.1204).


(3)
Density functional theory data (GGA-PBE) for crystalline K2Bi2Au at its relaxed geometry.

The value obtained for the volume is 34.52 A^3/atom. The spin magnetization is 0.00 μB per formula unit. As for the calculated total energy: -2.95 eV/atom.

The space group is P4/mbm (No. 127) and the conventional cell measures 7.6762, 7.6762 and 5.8589 Å, with angles of 90.00, 90.00 and 90.00 degrees. Symmetry generates all atoms from K at (0.1671, 0.3329, 0.0000), Bi at (0.1469, 0.6469, 0.5000) and Au at (0.0000, 0.0000, 0.5000).


(4)
Density functional theory data (GGA-PBE) for crystalline SrAlSe at its relaxed geometry.

The uncorrected formation energy is -524 meV/atom. The value obtained for the volume is 31.56 A^3/atom. Its polymorph energy (0 for the lowest one) is 153 meV/atom. The spin magnetization is 0.00 μB per formula unit.

The space group is F-43m (No. 216) and the conventional cell measures 7.2349, 7.2349 and 7.2349 Å, with angles of 90.00, 90.00 and 90.00 degrees. Symmetry generates all atoms from Sr at (0.0000, 0.0000, 0.0000), Al at (0.0000, 0.0000, 0.5000) and Se at (0.2500, 0.2500, 0.7500).


(5)
Density functional theory data (GGA-PBE) for crystalline TlCd2H2 at its relaxed geometry.

The value obtained for the volume is 17.45 A^3/atom. Its polymorph energy (0 for the lowest one) is 38 meV/atom. The spin magnetization is 0.00 μB per formula unit.

The space group is I4/mmm (No. 139) and the conventional cell measures 3.4008, 3.4008 and 15.0913 Å, with angles of 90.00, 90.00 and 90.00 degrees. Symmetry generates all atoms from Tl at (0.0000, 0.0000, 0.0000), Cd at (0.0000, 0.0000, 0.3391) and H at (0.0000, 0.5000, 0.2500).


(6)
Density functional theory data (GGA-PBE) for crystalline Cr4FePt at its relaxed geometry.

The value obtained for the volume is 12.31 A^3/atom. The spin magnetization is 1.32 μB per formula unit. As for the calculated total energy: -8.77 eV/atom.

The space group is F-43m (No. 216) and the conventional cell measures 6.6604, 6.6604 and 6.6604 Å, with angles of 90.00, 90.00 and 90.00 degrees. Symmetry generates all atoms from Cr at (0.1233, 0.1233, 0.1233), Fe at (0.2500, 0.2500, 0.7500) and Pt at (0.0000, 0.0000, 0.5000).


(7)
Density functional theory data (GGA-PBE) for crystalline Fe3HW at its relaxed geometry.

The value obtained for the volume is 10.10 A^3/atom. Its polymorph energy (0 for the lowest one) is 124 meV/atom. The spin magnetization is 3.12 μB per formula unit.

The space group is P2_1/c (No. 14) and the conventional cell measures 5.3648, 4.3854 and 9.0459 Å, with angles of 90.00, 108.35 and 90.00 degrees. Symmetry generates all atoms from Fe at (0.0611, 0.0690, 0.3778), Fe at (0.3066, 0.5803, 0.3677), Fe at (0.4273, 0.5840, 0.1135), H at (0.3898, 0.2447, 0.4973) and W at (0.2006, 0.0678, 0.1402).


(8)
Density functional theory data (GGA-PBE) for crystalline InSnIO2 at its relaxed geometry.

The uncorrected formation energy is -468 meV/atom. The value obtained for the volume is 21.28 A^3/atom. Its polymorph energy (0 for the lowest one) is 0 meV/atom. The spin magnetization is 0.00 μB per formula unit.

The space group is P4/mmm (No. 123) and the conventional cell measures 4.2580, 4.2580 and 5.8676 Å, with angles of 90.00, 90.00 and 90.00 degrees. Symmetry generates all atoms from In at (0.0000, 0.0000, 0.0000), Sn at (0.5000, 0.5000, 0.5000), I at (0.5000, 0.5000, 0.0000) and O at (0.0000, 0.5000, 0.5000).


(9)
Density functional theory data (GGA-PBE) for crystalline PrDy6Sc3 at its relaxed geometry.

The value obtained for the volume is 30.31 A^3/atom. Its polymorph energy (0 for the lowest one) is 25 meV/atom. The spin magnetization is 0.81 μB per formula unit.

The space group is R3 (No. 146, hexagonal axes) and the conventional cell measures 9.6289, 9.6289 and 11.3250 Å, with angles of 90.00, 90.00 and 120.00 degrees. Symmetry generates all atoms from Pr at (0.0000, 0.0000, 0.0000), Dy at (0.0003, 0.3412, 0.0004), Dy at (0.0002, 0.6655, 0.5005), Sc at (0.0000, 0.0000, 0.2600), Sc at (0.0000, 0.0000, 0.4995) and Sc at (0.0000, 0.0000, 0.7387).


(10)
Density functional theory data (GGA-PBE) for crystalline TePbW2 at its relaxed geometry.

The uncorrected formation energy is 1294 meV/atom. The value obtained for the volume is 20.42 A^3/atom. Its polymorph energy (0 for the lowest one) is 861 meV/atom. The spin magnetization is 0.00 μB per formula unit.

The space group is Cmmm (No. 65) and the conventional cell measures 3.3116, 5.3559 and 9.2099 Å, with angles of 90.00, 90.00 and 90.00 degrees. Symmetry generates all atoms from Te at (0.0000, 0.0000, 0.0000), Pb at (0.0000, 0.0000, 0.5000) and W at (0.0000, 0.5000, 0.2388).


(11)
Density functional theory data (GGA-PBE) for crystalline Nd2NpNi16 at its relaxed geometry.

The value obtained for the volume is 13.46 A^3/atom. The spin magnetization is 0.97 μB per formula unit. As for the calculated total energy: -6.24 eV/atom.

The space group is R3m (No. 160, hexagonal axes) and the conventional cell measures 8.4768, 8.4768 and 12.3283 Å, with angles of 90.00, 90.00 and 120.00 degrees. Symmetry generates all atoms from Nd at (0.0000, 0.0000, 0.0000), Nd at (0.0000, 0.0000, 0.3057), Np at (0.0000, 0.0000, 0.5808), Ni at (0.0000, 0.0000, 0.7707), Ni at (0.0001, 0.5000, 0.1515), Ni at (0.9999, 0.4999, 0.8126), Ni at (0.0008, 0.3078, 0.6537) and Ni at (0.0043, 0.5021, 0.4942).


(12)
Density functional theory data (GGA-PBE) for crystalline Ca2MgCl at its relaxed geometry.

The uncorrected formation energy is -663 meV/atom. The value obtained for the volume is 32.61 A^3/atom. Its polymorph energy (0 for the lowest one) is 147 meV/atom. The spin magnetization is 0.00 μB per formula unit.

The space group is Immm (No. 71) and the conventional cell measures 3.7910, 6.7429 and 10.2056 Å, with angles of 90.00, 90.00 and 90.00 degrees. Symmetry generates all atoms from Ca at (0.0000, 0.0000, 0.2051), Mg at (0.0000, 0.5000, 0.0000) and Cl at (0.0000, 0.5000, 0.5000).


(13)
Density functional theory data (GGA-PBE) for crystalline TaSe2N2 at its relaxed geometry.

The uncorrected formation energy is 382 meV/atom. The value obtained for the volume is 17.84 A^3/atom. Its polymorph energy (0 for the lowest one) is 0 meV/atom. The spin magnetization is 0.00 μB per formula unit.

The space group is P4/mmm (No. 123) and the conventional cell measures 3.9825, 3.9825 and 5.6227 Å, with angles of 90.00, 90.00 and 90.00 degrees. Symmetry generates all atoms from Ta at (0.0000, 0.0000, 0.0000), Se at (0.0000, 0.0000, 0.5000), Se at (0.5000, 0.5000, 0.5000) and N at (0.0000, 0.5000, 0.0000).


(14)
Density functional theory data (GGA-PBE) for crystalline MgCdPb2 at its relaxed geometry.

The value obtained for the volume is 26.98 A^3/atom. Its polymorph energy (0 for the lowest one) is 20 meV/atom. The spin magnetization is 0.00 μB per formula unit.

The space group is Cm (No. 8) and the conventional cell measures 11.2435, 3.4061 and 5.8244 Å, with angles of 90.00, 104.59 and 90.00 degrees. Symmetry generates all atoms from Mg at (0.0000, 0.0000, 0.0000), Cd at (0.2770, 0.0000, 0.7313), Pb at (0.0219, 0.5000, 0.5148) and Pb at (0.2499, 0.5000, 0.2085).


(15)
Density functional theory data (GGA-PBE) for crystalline LaDyMgMn at its relaxed geometry.

The value obtained for the volume is 26.46 A^3/atom. The spin magnetization is 3.09 μB per formula unit. As for the calculated total energy: -4.96 eV/atom.

The space group is F-43m (No. 216) and the conventional cell measures 7.5091, 7.5091 and 7.5091 Å, with angles of 90.00, 90.00 and 90.00 degrees. Symmetry generates all atoms from La at (0.0000, 0.0000, 0.0000), Dy at (0.0000, 0.0000, 0.5000), Mg at (0.2500, 0.2500, 0.2500) and Mn at (0.2500, 0.2500, 0.7500).


(16)
Density functional theory data (GGA-PBE) for crystalline AlIn2Cl at its relaxed geometry.

The uncorrected formation energy is -202 meV/atom. The value obtained for the volume is 24.64 A^3/atom. Its polymorph energy (0 for the lowest one) is 32 meV/atom. The spin magnetization is 0.00 μB per formula unit.

The space group is C2/m (No. 12) and the conventional cell measures 8.1314, 7.9513 and 3.2407 Å, with angles of 90.00, 109.82 and 90.00 degrees. Symmetry generates all atoms from Al at (0.0000, 0.0000, 0.0000), In at (0.2500, 0.2500, 0.5000) and Cl at (0.0000, 0.5000, 0.0000).


(17)
Density functional theory data (GGA-PBE) for crystalline CoPt2Rh2 at its relaxed geometry.

The value obtained for the volume is 15.44 A^3/atom. Its polymorph energy (0 for the lowest one) is 87 meV/atom. The spin magnetization is 3.05 μB per formula unit.

The space group is C2/m (No. 12) and the conventional cell measures 12.3708, 2.6958 and 9.2643 Å, with angles of 90.00, 91.79 and 90.00 degrees. Symmetry generates all atoms from Co at (0.2060, 0.0000, 0.3505), Pt at (0.1063, 0.5000, 0.5380), Pt at (0.1720, 0.0000, 0.0770), Rh at (0.0399, 0.5000, 0.2506) and Rh at (0.1493, 0.0000, 0.7921).


(18)
Density functional theory data (GGA-PBE) for crystalline DyYPt at its relaxed geometry.

The value obtained for the volume is 26.21 A^3/atom. Its polymorph energy (0 for the lowest one) is 0 meV/atom. The spin magnetization is 0.00 μB per formula unit.

The space group is Cmcm (No. 63) and the conventional cell measures 3.8184, 11.9769 and 6.8769 Å, with angles of 90.00, 90.00 and 90.00 degrees. Symmetry generates all atoms from Dy at (0.0000, 0.2133, 0.2500), Y at (0.0000, 0.5000, 0.0000) and Pt at (0.0000, 0.1172, 0.7500).